Record 1
DFT (PBE) results for crystalline KPBrCl2 at its relaxed geometry.

The space group is P4/mmm (No. 123) and the conventional cell measures 5.632, 5.632 and 8.905 Å, with angles of 90.00, 90.00 and 90.00 degrees. The asymmetric unit holds K at (0.000, 0.000, 0.000), P at (0.000, 0.000, 0.500), Br at (0.500, 0.500, 0.500) and Cl at (0.000, 0.500, 0.000).

Its magnetization is 2.87 Bohr magnetons per cell. For the formation energy (no corrections), the calculation gives 0.39 eV/atom.

***

Record 2
DFT (PBE) results for crystalline K2PaBr2Cl4 at its relaxed geometry.

The space group is I4/mmm (No. 139) and the conventional cell measures 7.507, 7.507 and 11.139 Å, with angles of 90.00, 90.00 and 90.00 degrees. The asymmetric unit holds K at (0.000, 0.500, 0.250), Pa at (0.000, 0.000, 0.000), Br at (0.000, 0.000, 0.254) and Cl at (0.248, 0.248, 0.000).

Its magnetization is 2.00 Bohr magnetons per cell. For the formation energy (no corrections), the calculation gives -1.83 eV/atom.

***

Record 3
DFT (PBE) results for crystalline K2PbBr2Cl2 at its relaxed geometry.

The space group is I4/mmm (No. 139) and the conventional cell measures 5.654, 5.654 and 17.075 Å, with angles of 90.00, 90.00 and 90.00 degrees. The asymmetric unit holds K at (0.000, 0.000, 0.137), Pb at (0.000, 0.000, 0.500), Br at (0.000, 0.000, 0.324) and Cl at (0.000, 0.500, 0.000).

Its magnetization is 0.00 Bohr magnetons per cell. For the formation energy (no corrections), the calculation gives -1.46 eV/atom.

***

Record 4
DFT (PBE) results for crystalline KPbBrCl2 at its relaxed geometry.

The space group is Cmcm (No. 63) and the conventional cell measures 4.260, 14.124 and 11.135 Å, with angles of 90.00, 90.00 and 90.00 degrees. The asymmetric unit holds K at (0.000, 0.237, 0.250), Pb at (0.000, 0.000, 0.000), Br at (0.000, 0.085, 0.750) and Cl at (0.000, 0.366, 0.565).

Its magnetization is 0.00 Bohr magnetons per cell. For the formation energy (no corrections), the calculation gives -1.41 eV/atom.

***

Record 5
DFT (PBE) results for crystalline KPbBr2Cl at its relaxed geometry.

The space group is Cmcm (No. 63) and the conventional cell measures 4.439, 14.598 and 10.690 Å, with angles of 90.00, 90.00 and 90.00 degrees. The asymmetric unit holds K at (0.000, 0.233, 0.250), Pb at (0.000, 0.500, 0.000), Br at (0.000, 0.139, 0.559) and Cl at (0.000, 0.421, 0.750).

Its magnetization is 0.00 Bohr magnetons per cell. For the formation energy (no corrections), the calculation gives -1.35 eV/atom.

***

Record 6
DFT (PBE) results for crystalline KPbBr2Cl at its relaxed geometry.

The space group is P4/mmm (No. 123) and the conventional cell measures 5.975, 5.975 and 5.658 Å, with angles of 90.00, 90.00 and 90.00 degrees. The asymmetric unit holds K at (0.000, 0.000, 0.000), Pb at (0.500, 0.500, 0.500), Br at (0.000, 0.500, 0.500) and Cl at (0.500, 0.500, 0.000).

Its magnetization is 0.00 Bohr magnetons per cell. For the formation energy (no corrections), the calculation gives -1.26 eV/atom.

***

Record 7
DFT (PBE) results for crystalline KPbBrCl2 at its relaxed geometry.

The space group is P4/mmm (No. 123) and the conventional cell measures 5.673, 5.673 and 5.993 Å, with angles of 90.00, 90.00 and 90.00 degrees. The asymmetric unit holds K at (0.000, 0.000, 0.000), Pb at (0.500, 0.500, 0.500), Br at (0.500, 0.500, 0.000) and Cl at (0.000, 0.500, 0.500).

Its magnetization is 0.00 Bohr magnetons per cell. For the formation energy (no corrections), the calculation gives -1.34 eV/atom.

***

Record 8
DFT (PBE) results for crystalline KPdBr2Cl6 at its relaxed geometry.

The space group is P1 (No. 1) and the conventional cell measures 7.079, 7.586 and 7.609 Å, with angles of 64.31, 78.70 and 66.48 degrees. The asymmetric unit holds K at (0.000, 0.000, 0.000), Pd at (0.737, 0.699, 0.724), Br at (0.485, 0.854, 0.217), Br at (0.902, 0.225, 0.511), Cl at (0.011, 0.640, 0.893), Cl at (0.012, 0.450, 0.563), Cl at (0.454, 0.734, 0.569), Cl at (0.486, 0.977, 0.867), Cl at (0.661, 0.427, 0.984) and Cl at (0.796, 0.984, 0.444).

Its magnetization is 1.04 Bohr magnetons per cell. For the formation energy (no corrections), the calculation gives -0.54 eV/atom.

***

Record 9
DFT (PBE) results for crystalline K2PdBr2Cl2 at its relaxed geometry.

The space group is C2/m (No. 12) and the conventional cell measures 15.477, 4.255 and 6.892 Å, with angles of 90.00, 116.42 and 90.00 degrees. The asymmetric unit holds K at (0.162, 0.000, 0.161), Pd at (0.000, 0.000, 0.500), Br at (0.001, 0.500, 0.246) and Cl at (0.178, 0.000, 0.680).

Its magnetization is 3.03 Bohr magnetons per cell. For the formation energy (no corrections), the calculation gives -1.13 eV/atom.

***

Record 10
DFT (PBE) results for crystalline KPtBr2Cl at its relaxed geometry.

The space group is P4/mmm (No. 123) and the conventional cell measures 5.279, 5.279 and 4.941 Å, with angles of 90.00, 90.00 and 90.00 degrees. The asymmetric unit holds K at (0.000, 0.000, 0.000), Pt at (0.500, 0.500, 0.500), Br at (0.000, 0.500, 0.500) and Cl at (0.500, 0.500, 0.000).

Its magnetization is 0.00 Bohr magnetons per cell. For the formation energy (no corrections), the calculation gives -0.79 eV/atom.

***

Record 11
DFT (PBE) results for crystalline K2PtBr4Cl2 at its relaxed geometry.

The space group is C2/m (No. 12) and the conventional cell measures 12.691, 7.306 and 7.440 Å, with angles of 90.00, 125.79 and 90.00 degrees. The asymmetric unit holds K at (0.249, 0.000, 0.264), Pt at (0.000, 0.000, 0.500), Br at (0.025, 0.241, 0.761) and Cl at (0.226, 0.000, 0.679).

Its magnetization is 0.00 Bohr magnetons per cell. For the formation energy (no corrections), the calculation gives -1.05 eV/atom.

***

Record 12
DFT (PBE) results for crystalline K3PtBr2Cl6 at its relaxed geometry.

The space group is C2/m (No. 12) and the conventional cell measures 16.138, 7.972 and 5.970 Å, with angles of 90.00, 94.75 and 90.00 degrees. The asymmetric unit holds K at (0.000, 0.000, 0.000), K at (0.250, 0.250, 0.500), Pt at (0.000, 0.500, 0.500), Br at (0.207, 0.000, 0.039), Cl at (0.074, 0.290, 0.708) and Cl at (0.106, 0.500, 0.253).

Its magnetization is 2.02 Bohr magnetons per cell. For the formation energy (no corrections), the calculation gives -1.05 eV/atom.

***

Record 13
DFT (PBE) results for crystalline K2PuBr2Cl4 at its relaxed geometry.

The space group is I4/mmm (No. 139) and the conventional cell measures 7.424, 7.424 and 10.957 Å, with angles of 90.00, 90.00 and 90.00 degrees. The asymmetric unit holds K at (0.000, 0.500, 0.250), Pu at (0.000, 0.000, 0.000), Br at (0.000, 0.000, 0.253) and Cl at (0.246, 0.246, 0.000).

Its magnetization is 8.00 Bohr magnetons per cell. For the formation energy (no corrections), the calculation gives -1.72 eV/atom.

***

Record 14
DFT (PBE) results for crystalline KPuBr2Cl at its relaxed geometry.

The space group is P4mm (No. 99) and the conventional cell measures 5.922, 5.922 and 5.574 Å, with angles of 90.00, 90.00 and 90.00 degrees. The asymmetric unit holds K at (0.000, 0.000, 0.000), Pu at (0.500, 0.500, 0.357), Br at (0.000, 0.500, 0.322) and Cl at (0.500, 0.500, 0.852).

Its magnetization is 5.99 Bohr magnetons per cell. For the formation energy (no corrections), the calculation gives -1.57 eV/atom.

***

Record 15
DFT (PBE) results for crystalline K2PuBr4Cl2 at its relaxed geometry.

The space group is C2/m (No. 12) and the conventional cell measures 13.285, 7.773 and 7.756 Å, with angles of 90.00, 124.86 and 90.00 degrees. The asymmetric unit holds K at (0.245, 0.000, 0.236), Pu at (0.000, 0.000, 0.500), Br at (0.051, 0.250, 0.794) and Cl at (0.228, 0.000, 0.629).

Its magnetization is 8.00 Bohr magnetons per cell. For the formation energy (no corrections), the calculation gives -1.64 eV/atom.

***

Record 16
DFT (PBE) results for crystalline KRb2Br6Cl at its relaxed geometry.

The space group is I4/mmm (No. 139) and the conventional cell measures 7.893, 7.893 and 13.470 Å, with angles of 90.00, 90.00 and 90.00 degrees. The asymmetric unit holds K at (0.000, 0.000, 0.000), Rb at (0.000, 0.500, 0.250), Br at (0.000, 0.000, 0.229), Br at (0.220, 0.220, 0.500) and Cl at (0.000, 0.000, 0.500).

Its magnetization is 0.00 Bohr magnetons per cell. For the formation energy (no corrections), the calculation gives -0.81 eV/atom.

***

Record 17
DFT (PBE) results for crystalline KRbBrCl at its relaxed geometry.

The space group is R3m (No. 160, hexagonal axes) and the conventional cell measures 4.7062, 4.7062 and 23.4925 Å, with angles of 90.00, 90.00 and 120.00 degrees. The asymmetric unit holds K at (0.0000, 0.0000, 0.0000), Rb at (0.0000, 0.0000, 0.5083), Br at (0.0000, 0.0000, 0.7502) and Cl at (0.0000, 0.0000, 0.2579).

Its magnetization is 0.00 Bohr magnetons per cell. For the formation energy (no corrections), the calculation gives -1.84 eV/atom.

***

Record 18
DFT (PBE) results for crystalline KRbBrCl at its relaxed geometry.

The space group is F-43m (No. 216) and the conventional cell measures 8.055, 8.055 and 8.055 Å, with angles of 90.00, 90.00 and 90.00 degrees. The asymmetric unit holds K at (0.000, 0.000, 0.000), Rb at (0.000, 0.000, 0.500), Br at (0.250, 0.250, 0.250) and Cl at (0.250, 0.250, 0.750).

Its magnetization is 0.00 Bohr magnetons per cell. For the formation energy (no corrections), the calculation gives -1.77 eV/atom.

***

Record 19
DFT (PBE) results for crystalline KRb2BrCl at its relaxed geometry.

The space group is P4/mmm (No. 123) and the conventional cell measures 6.476, 6.476 and 6.062 Å, with angles of 90.00, 90.00 and 90.00 degrees. The asymmetric unit holds K at (0.000, 0.000, 0.000), Rb at (0.000, 0.500, 0.500), Br at (0.500, 0.500, 0.000) and Cl at (0.000, 0.000, 0.500).

Its magnetization is 0.00 Bohr magnetons per cell. For the formation energy (no corrections), the calculation gives -1.23 eV/atom.

***

Record 20
DFT (PBE) results for crystalline K2ReBr4Cl2 at its relaxed geometry.

The space group is C2/m (No. 12) and the conventional cell measures 12.685, 7.454 and 7.565 Å, with angles of 90.00, 126.57 and 90.00 degrees. The asymmetric unit holds K at (0.249, 0.000, 0.264), Re at (0.000, 0.000, 0.500), Br at (0.031, 0.240, 0.765) and Cl at (0.229, 0.000, 0.673).

Its magnetization is 6.00 Bohr magnetons per cell. For the formation energy (no corrections), the calculation gives -1.07 eV/atom.